(1)
The following is a GGA-PBE calculation of a relaxed Li2IrW crystal, from Alexandria.

a = 5.2253 Å, b = 5.2253 Å, c = 4.4253 Å
α = 71.47°, β = 71.47°, γ = 31.39°
Atoms (fractional coordinates):
1 Ir 0.2500 0.2500 0.2500
2 Li 0.9878 0.9878 0.0130
3 Li 0.5122 0.5122 0.4870
4 W 0.7500 0.7500 0.7500

Properties
- total DFT energy (no corrections) (eV/atom) = -6.310
- space-group type = C2/m (12)
- formation energy from the elements (kcal/mol of atoms) = 2.3
- ρ (g/cm³) = 10.9

---

(2)
The following is a GGA-PBE calculation of a relaxed Si2NiHBr crystal, from Alexandria.

a = 5.0840 Å, b = 3.1326 Å, c = 5.0840 Å
α = 90.00°, β = 90.00°, γ = 90.00°
Atoms (fractional coordinates):
1 Ni 0.5000 0.5000 0.5000
2 Si 0.0000 0.0000 0.5000
3 Si 0.5000 0.0000 0.0000
4 Br 0.0000 0.0000 0.0000
5 H 0.0000 0.5000 0.0000

Properties
- total DFT energy (no corrections) (eV/atom) = -3.254
- space-group type = P4/mmm (123)
- ρ (g/cm³) = 4.0

---

(3)
The following is a GGA-PBE calculation of a relaxed Ho8TlGa2 crystal, from Alexandria.

a = 4.9220 Å, b = 7.8909 Å, c = 8.6757 Å
α = 111.19°, β = 106.48°, γ = 90.00°
Atoms (fractional coordinates):
1 Ho 0.3988 0.5396 0.7976
2 Ho 0.6798 0.9529 0.3597
3 Ho 0.8321 0.7545 0.6642
4 Ho 0.9490 0.2677 0.8979
5 Ho 0.1679 0.2455 0.3358
6 Ho 0.3202 0.0471 0.6403
7 Ho 0.6012 0.4604 0.2024
8 Ho 0.0510 0.7323 0.1021
9 Tl 0.5000 0.0000 0.0000
10 Ga 0.7854 0.3451 0.5707
11 Ga 0.2146 0.6549 0.4293

Properties
- total DFT energy (no corrections) (eV/atom) = -4.356
- space-group type = C2/m (12)
- formation energy from the elements (kcal/mol of atoms) = -6.0
- ρ (g/cm³) = 9.2

---

(4)
The following is a GGA-PBE calculation of a relaxed PrZnCd crystal, from Alexandria.

a = 3.4005 Å, b = 3.4005 Å, c = 7.9790 Å
α = 102.30°, β = 102.30°, γ = 90.00°
Atoms (fractional coordinates):
1 Pr 0.9457 0.9457 0.8915
2 Zn 0.7491 0.7491 0.4983
3 Cd 0.1551 0.1551 0.3102

Properties
- total DFT energy (no corrections) (eV/atom) = -1.935
- space-group type = I4mm (107)
- formation energy from the elements (kcal/mol of atoms) = 8.9
- ρ (g/cm³) = 6.0

---

| no. | spin magnetization (μB/f.u.) |
| --- | --- |
| 1 | 0.0 |
| 2 | 0.0 |
| 3 | 0.0 |
| 4 | 0.0 |